Material: LiNi2P2
Method: DFT, PBE
State: relaxed

Total magnetization ... 0.00 μB per cell
DFT formation energy ... -0.27 eV/atom
Uncorrected energy ... -5.13 eV/atom
Calculated volume ... 72 Å³ per cell

Cell: 5.178 5.178 5.178 Å, 133.58 133.58 67.75°
Positions (direct):
Li (0.000, 0.000, 0.000)
Ni (0.358, 0.358, 0.000)
Ni (0.642, 0.642, 0.000)
P (0.250, 0.750, 0.500)
P (0.750, 0.250, 0.500)